# PuPd3Au7

A relaxed PuPd3Au7 crystal (GGA-PBE, Alexandria via LeMat-Bulk).

a = 8.4260 Å, b = 9.9507 Å, c = 5.6680 Å
α = 90.00°, β = 110.98°, γ = 90.00°
Last column: nearest neighbours and their distance in Å.
Space group C2/m (No. 12)
Inequivalent atoms, fractional coordinates:
Pu (0.0000, 0.0000, 0.0000) [2 per cell]  8 Au 2.83-3.04
Pd (0.0000, 0.2672, 0.5000) [4 per cell]  7 Au 2.66-2.74
Pd (0.0000, 0.5000, 0.0000) [2 per cell]  6 Au 2.73-2.87
Au (0.0000, 0.0000, 0.5000) [2 per cell]  2 Pd 2.66, 2 Au 2.79, 2 Pu 2.83
Au (0.1752, 0.2677, 0.1762) [8 per cell]  3 Pd 2.72-2.74, 2 Au 2.74-2.91, 1 Pu 3.04
Au (0.1784, 0.5000, 0.5367) [4 per cell]  3 Pd 2.73-2.87, 2 Au 2.79-2.88, 1 Pu 3.02

Computed properties:
As for the volume: 20.17 Å³/atom. The crystal system is monoclinic. The energy relative to the elements is 0.014 eV per atom. For the total energy, the calculation gives -0.1761 Ha/atom.